1.
This record from Alexandria via LeMat-Bulk describes a relaxed structure of LaTiPd2. The functional is PBE.

Results
Formation enthalpy at 0 K in kcal/mol of atoms: -13.3
Magnetic moment in μB/f.u.: 0.00

Cell lengths 3.2511, 3.2511, 7.4954 Å; angles 90.00, 90.00, 90.00 degrees
Sites, in units of the cell vectors:
La1 0.0000 0.0000 0.0000
Ti1 0.0000 0.0000 0.5000
Pd1 0.5000 0.5000 0.3086
Pd2 0.5000 0.5000 0.6914

2.
This record from Alexandria via LeMat-Bulk describes a relaxed structure of Mo2RuBr. The functional is PBE.

Results
Magnetic moment in μB/f.u.: 0.00
Excess energy over the best structure of this formula in the dataset in eV per atom: 0.229

Cell lengths 5.3820, 5.3820, 5.3820 Å; angles 148.17, 129.71, 60.75 degrees
Sites, in units of the cell vectors:
Mo1 0.0000 0.0000 0.0000
Mo2 0.7177 0.2177 0.5000
Ru1 0.2519 0.7519 0.5000
Br1 0.4894 0.4894 0.0000

3.
This record from Alexandria via LeMat-Bulk describes a relaxed structure of ZrInN2. The functional is PBE.

Results
Magnetic moment in μB/f.u.: 0.00

Cell lengths 3.9032, 3.9032, 8.3563 Å; angles 90.00, 90.00, 90.00 degrees
Sites, in units of the cell vectors:
Zr1 0.2500 0.2500 0.1082
Zr2 0.7500 0.7500 0.8918
In1 0.2500 0.2500 0.6256
In2 0.7500 0.7500 0.3744
N1 0.2500 0.2500 0.3615
N2 0.2500 0.7500 0.0000
N3 0.7500 0.2500 0.0000
N4 0.7500 0.7500 0.6385

4.
This record from Alexandria via LeMat-Bulk describes a relaxed structure of Ce3Dy2YS6. The functional is PBE.

Results
Magnetic moment in μB/f.u.: 2.49

Cell lengths 6.8407, 6.8407, 6.9340 Å; angles 99.47, 99.47, 120.04 degrees
Sites, in units of the cell vectors:
Ce1 0.0000 0.0000 0.0000
Ce2 0.3335 0.6665 0.0000
Ce3 0.6665 0.3335 0.0000
Dy1 0.1667 0.8333 0.5000
Dy2 0.8333 0.1667 0.5000
Y1 0.5000 0.5000 0.5000
S1 0.0866 0.4205 0.2616
S2 0.2455 0.2455 0.7382
S3 0.4205 0.0866 0.2616
S4 0.5795 0.9134 0.7384
S5 0.7545 0.7545 0.2618
S6 0.9134 0.5795 0.7384

Number 1: ρ 8.376 g cm⁻³, final energy -25.51 eV per cell. Number 2: ρ 9.878 g cm⁻³, final energy -30.05 eV per cell. Number 3: ρ 6.106 g cm⁻³, final energy -60.41 eV per cell. Number 4: ρ 6.428 g cm⁻³, final energy -82.61 eV per cell.